The following is a DFT calculation (PBE) of crystalline IrPbO4 at its relaxed geometry.

Cell and atoms, written as extended XYZ:
```
12
Lattice="5.966 0.000 0.000 0.000 4.858 0.000 -1.794 0.000 5.350" Properties=species:S:1:pos:R:3 pbc="T T T"
Ir 0.000 0.000 0.000
Ir -0.897 2.429 2.675
Pb 2.086 0.000 2.675
Pb 2.983 2.429 0.000
O 0.087 0.955 1.761
O -0.810 1.474 4.436
O 0.892 3.051 3.269
O 1.789 4.236 0.595
O 2.384 0.622 4.755
O 3.280 1.807 2.080
O 4.982 3.384 0.914
O 4.085 3.903 3.589
```

Total DFT energy (no corrections) in eV for the cell shown: -74.5
Calculated density in g cm⁻³: 9.93
Raw formation energy in meV/atom: -812